Y2GeCl | GGA-PBE | relaxed

The structure belongs to space group R-3m (No. 166, hexagonal axes); the cell edges are 4.1762, 4.1762 and 19.8212 Å and the angles 90.00°, 90.00° and 120.00°. The asymmetric unit holds Y at (0.0000, 0.0000, 0.2414), Ge at (0.0000, 0.0000, 0.5000) and Cl at (0.0000, 0.0000, 0.0000).

The calculation puts the density of states at the Fermi level at 2.1 states/eV/f.u. The energy comes out at -6.05 eV/atom. The value obtained for the uncorrected formation energy is -1.200 eV/atom. The offset from the most stable computed form comes out at 0 meV per atom.